(one)
Compound: LuZr2Pa
Source: Alexandria
Functional: PBE
Structure: relaxed

Properties
magnetic moment	0.0	μB/f.u.

a = 3.812 Å, b = 3.812 Å, c = 7.001 Å
α = 90.00°, β = 90.00°, γ = 90.00°
Sites, in units of the cell vectors:
Zr (0.000, 0.000, 0.213)
Pa (0.500, 0.500, 0.000)
Zr (0.000, 0.000, 0.787)
Lu (0.500, 0.500, 0.500)

=====

(two)
Compound: LuZr2Pa
Source: Alexandria
Functional: PBE
Structure: relaxed

Properties
magnetic moment	0.0	μB/f.u.

a = 5.191 Å, b = 5.191 Å, c = 5.191 Å
α = 60.00°, β = 60.00°, γ = 60.00°
Sites, in units of the cell vectors:
Lu (0.500, 0.500, 0.500)
Zr (0.750, 0.750, 0.750)
Pa (0.000, 0.000, 0.000)
Zr (0.250, 0.250, 0.250)

=====

Stability, highest: (one)

=====

(one)
Compound: PrLuPb2
Source: Alexandria
Functional: PBE
Structure: relaxed

Properties
magnetic moment	0.0	μB/f.u.

a = 5.511 Å, b = 5.511 Å, c = 5.511 Å
α = 60.00°, β = 60.00°, γ = 60.00°
Sites, in units of the cell vectors:
Pr (0.500, 0.500, 0.500)
Pb (0.250, 0.250, 0.250)
Lu (0.000, 0.000, 0.000)
Pb (0.750, 0.750, 0.750)

=====

(two)
Compound: PrLuPb2
Source: Alexandria
Functional: PBE
Structure: relaxed

Properties
magnetic moment	0.0	μB/f.u.

a = 3.566 Å, b = 3.566 Å, c = 9.071 Å
α = 90.00°, β = 90.00°, γ = 90.00°
Sites, in units of the cell vectors:
Pb (0.000, 0.000, 0.764)
Pr (0.500, 0.500, 0.500)
Pb (0.000, 0.000, 0.236)
Lu (0.500, 0.500, 0.000)

=====

(three)
Compound: PrLuPb2
Source: Alexandria
Functional: PBE
Structure: relaxed

Properties
magnetic moment	0.0	μB/f.u.

a = 3.758 Å, b = 3.758 Å, c = 10.173 Å
α = 79.36°, β = 79.36°, γ = 60.00°
Sites, in units of the cell vectors:
Pr (0.500, 0.500, 0.500)
Lu (0.000, 0.000, 0.000)
Pb (0.254, 0.254, 0.238)
Pb (0.746, 0.746, 0.762)

=====

Stability, highest: (two)

=====

(one)
Compound: PrLuPb
Source: Alexandria
Functional: PBE
Structure: relaxed

Properties
magnetic moment	0.0	μB/f.u.

a = 4.168 Å, b = 5.142 Å, c = 5.142 Å
α = 120.00°, β = 90.00°, γ = 90.00°
Sites, in units of the cell vectors:
Pb (0.167, 0.000, 0.000)
Lu (0.167, 0.667, 0.333)
Pr (0.667, 0.333, 0.667)

=====

(two)
Compound: PrLuPb
Source: Alexandria
Functional: PBE
Structure: relaxed

Properties
magnetic moment	0.0	μB/f.u.

a = 3.642 Å, b = 3.642 Å, c = 7.460 Å
α = 104.13°, β = 104.13°, γ = 90.00°
Sites, in units of the cell vectors:
Pb (0.005, 0.005, 0.011)
Pr (0.339, 0.339, 0.677)
Lu (0.656, 0.656, 0.312)

=====

Stability, highest: (two)

=====

(one)
Compound: Pr2LuPb
Source: Alexandria
Functional: PBE
Structure: relaxed

Properties
magnetic moment	0.0	μB/f.u.

a = 4.995 Å, b = 4.943 Å, c = 4.943 Å
α = 90.00°, β = 90.00°, γ = 90.00°
Sites, in units of the cell vectors:
Lu (0.500, 0.500, 0.500)
Pr (0.000, 0.000, 0.500)
Pb (0.500, 0.000, 0.000)
Pr (0.000, 0.500, 0.000)

=====

(two)
Compound: Pr2LuPb
Source: Alexandria
Functional: PBE
Structure: relaxed

Properties
magnetic moment	0.0	μB/f.u.

a = 3.600 Å, b = 3.600 Å, c = 12.468 Å
α = 81.70°, β = 81.70°, γ = 60.00°
Sites, in units of the cell vectors:
Pb (0.000, 0.000, 0.000)
Pr (0.911, 0.911, 0.267)
Lu (0.500, 0.500, 0.500)
Pr (0.089, 0.089, 0.733)

=====

Stability, highest: (one)

=====

(one)
Compound: Lu2PuPb
Source: Alexandria
Functional: PBE
Structure: relaxed

Properties
magnetic moment	6.4	μB/f.u.

a = 3.403 Å, b = 3.403 Å, c = 11.938 Å
α = 81.81°, β = 81.81°, γ = 60.00°
Each line ends with the local moment (μB).
Sites, in units of the cell vectors:
Lu (0.092, 0.092, 0.724)  -0.05
Lu (0.908, 0.908, 0.276)  -0.05
Pu (0.000, 0.000, 0.000)  -5.82
Pb (0.500, 0.500, 0.500)  0.01

=====

(two)
Compound: Lu2PuPb
Source: Alexandria
Functional: PBE
Structure: relaxed

Properties
magnetic moment	7.0	μB/f.u.

a = 4.613 Å, b = 4.862 Å, c = 4.862 Å
α = 90.00°, β = 90.00°, γ = 90.00°
Each line ends with the local moment (μB).
Sites, in units of the cell vectors:
Pu (0.500, 0.500, 0.500)  -5.65
Lu (0.000, 0.000, 0.500)  -0.40
Pb (0.500, 0.000, 0.000)  0.05
Lu (0.000, 0.500, 0.000)  -0.40

=====

Stability, highest: (two)

=====

(one)
Compound: LuPu2Pb
Source: Alexandria
Functional: PBE
Structure: relaxed

Properties
magnetic moment	12.8	μB/f.u.

a = 5.418 Å, b = 5.418 Å, c = 5.418 Å
α = 60.00°, β = 60.00°, γ = 60.00°
Each line ends with the local moment (μB).
Sites, in units of the cell vectors:
Lu (0.000, 0.000, 0.000)  -0.52
Pu (0.250, 0.250, 0.250)  -5.62
Pb (0.500, 0.500, 0.500)  0.06
Pu (0.750, 0.750, 0.750)  -5.62

=====

(two)
Compound: LuPu2Pb
Source: Alexandria
Functional: PBE
Structure: relaxed

Properties
magnetic moment	12.6	μB/f.u.

a = 5.154 Å, b = 4.564 Å, c = 4.564 Å
α = 90.00°, β = 90.00°, γ = 90.00°
Each line ends with the local moment (μB).
Sites, in units of the cell vectors:
Pu (0.000, 0.500, 0.000)  -5.71
Lu (0.500, 0.500, 0.500)  -0.32
Pu (0.000, 0.000, 0.500)  -5.71
Pb (0.500, 0.000, 0.000)  0.09

=====

Stability, highest: (two)

=====

(one)
Compound: Lu2RhPb
Source: Alexandria
Functional: PBE
Structure: relaxed

Properties
magnetic moment	0.0	μB/f.u.

a = 3.707 Å, b = 3.707 Å, c = 8.842 Å
α = 77.90°, β = 77.90°, γ = 60.00°
Sites, in units of the cell vectors:
Lu (0.269, 0.269, 0.192)
Lu (0.731, 0.731, 0.808)
Pb (0.500, 0.500, 0.500)
Rh (0.000, 0.000, 0.000)

=====

(two)
Compound: Lu2RhPb
Source: Alexandria
Functional: PBE
Structure: relaxed

Properties
magnetic moment	0.0	μB/f.u.

a = 3.433 Å, b = 3.433 Å, c = 7.856 Å
α = 90.00°, β = 90.00°, γ = 90.00°
Sites, in units of the cell vectors:
Rh (0.500, 0.500, 0.000)
Lu (0.000, 0.000, 0.795)
Lu (0.000, 0.000, 0.205)
Pb (0.500, 0.500, 0.500)

=====

(three)
Compound: Lu2RhPb
Source: Alexandria
Functional: PBE
Structure: relaxed

Properties
magnetic moment	0.0	μB/f.u.

a = 5.048 Å, b = 5.048 Å, c = 5.048 Å
α = 60.00°, β = 60.00°, γ = 60.00°
Sites, in units of the cell vectors:
Rh (0.500, 0.500, 0.500)
Lu (0.250, 0.250, 0.250)
Lu (0.750, 0.750, 0.750)
Pb (0.000, 0.000, 0.000)

=====

(four)
Compound: Lu2RhPb
Source: Alexandria
Functional: PBE
Structure: relaxed

Properties
magnetic moment	0.0	μB/f.u.

a = 3.850 Å, b = 4.850 Å, c = 4.850 Å
α = 90.00°, β = 90.00°, γ = 90.00°
Sites, in units of the cell vectors:
Pb (0.500, 0.500, 0.500)
Lu (0.000, 0.500, 0.000)
Rh (0.500, 0.000, 0.000)
Lu (0.000, 0.000, 0.500)

=====

Stability, highest: (two)

=====

(one)
Compound: Lu2RuPb
Source: Alexandria
Functional: PBE
Structure: relaxed

Properties
magnetic moment	0.0	μB/f.u.

a = 3.385 Å, b = 3.385 Å, c = 8.016 Å
α = 90.00°, β = 90.00°, γ = 90.00°
Sites, in units of the cell vectors:
Pb (0.500, 0.500, 0.500)
Lu (0.000, 0.000, 0.201)
Lu (0.000, 0.000, 0.799)
Ru (0.500, 0.500, 0.000)

=====

(two)
Compound: Lu2RuPb
Source: Alexandria
Functional: PBE
Structure: relaxed

Properties
magnetic moment	0.0	μB/f.u.

a = 3.506 Å, b = 3.506 Å, c = 9.303 Å
α = 79.14°, β = 79.14°, γ = 60.00°
Sites, in units of the cell vectors:
Ru (0.000, 0.000, 0.000)
Pb (0.500, 0.500, 0.500)
Lu (0.265, 0.265, 0.205)
Lu (0.735, 0.735, 0.795)

=====

Stability, highest: (one)

=====

(one)
Compound: Lu2PbSe
Source: Alexandria
Functional: PBE
Structure: relaxed

Properties
magnetic moment	0.0	μB/f.u.

a = 4.713 Å, b = 4.713 Å, c = 8.427 Å
α = 73.76°, β = 73.76°, γ = 60.00°
Sites, in units of the cell vectors:
Se (0.000, 0.000, 0.000)
Lu (0.893, 0.893, 0.320)
Lu (0.107, 0.107, 0.680)
Pb (0.500, 0.500, 0.500)

=====

(two)
Compound: Lu2PbSe
Source: Alexandria
Functional: PBE
Structure: relaxed

Properties
magnetic moment	0.0	μB/f.u.

a = 3.497 Å, b = 3.497 Å, c = 7.891 Å
α = 90.00°, β = 90.00°, γ = 90.00°
Sites, in units of the cell vectors:
Pb (0.500, 0.500, 0.500)
Se (0.500, 0.500, 0.000)
Lu (0.000, 0.000, 0.777)
Lu (0.000, 0.000, 0.223)

=====

Stability, highest: (two)

=====

(one)
Compound: Sm2LuPb
Source: Alexandria
Functional: PBE
Structure: relaxed

Properties
magnetic moment	0.0	μB/f.u.

a = 3.554 Å, b = 3.554 Å, c = 12.291 Å
α = 81.69°, β = 81.69°, γ = 60.00°
Sites, in units of the cell vectors:
Sm (0.089, 0.089, 0.733)
Lu (0.500, 0.500, 0.500)
Sm (0.911, 0.911, 0.267)
Pb (0.000, 0.000, 0.000)

=====

(two)
Compound: Sm2LuPb
Source: Alexandria
Functional: PBE
Structure: relaxed

Properties
magnetic moment	0.0	μB/f.u.

a = 4.947 Å, b = 4.859 Å, c = 4.859 Å
α = 90.00°, β = 90.00°, γ = 90.00°
Sites, in units of the cell vectors:
Lu (0.500, 0.500, 0.500)
Sm (0.000, 0.500, 0.000)
Pb (0.500, 0.000, 0.000)
Sm (0.000, 0.000, 0.500)

=====

Stability, highest: (two)

=====

(one)
Compound: SmLu2Pb
Source: Alexandria
Functional: PBE
Structure: relaxed

Properties
magnetic moment	0.0	μB/f.u.

a = 4.809 Å, b = 4.848 Å, c = 4.848 Å
α = 90.00°, β = 90.00°, γ = 90.00°
Sites, in units of the cell vectors:
Lu (0.000, 0.000, 0.500)
Sm (0.500, 0.500, 0.500)
Lu (0.000, 0.500, 0.000)
Pb (0.500, 0.000, 0.000)

=====

(two)
Compound: SmLu2Pb
Source: Alexandria
Functional: PBE
Structure: relaxed

Properties
magnetic moment	0.0	μB/f.u.

a = 3.630 Å, b = 3.630 Å, c = 9.035 Å
α = 90.00°, β = 90.00°, γ = 90.00°
Sites, in units of the cell vectors:
Sm (0.500, 0.500, 0.500)
Lu (0.000, 0.000, 0.767)
Pb (0.500, 0.500, 0.000)
Lu (0.000, 0.000, 0.233)

=====

Stability, highest: (one)

=====

(one)
Compound: LuSnPb
Source: Alexandria
Functional: PBE
Structure: relaxed

Properties
magnetic moment	0.0	μB/f.u.

a = 3.401 Å, b = 5.334 Å, c = 5.334 Å
α = 120.00°, β = 90.00°, γ = 90.00°
Sites, in units of the cell vectors:
Sn (0.090, 0.000, 0.000)
Pb (0.238, 0.333, 0.667)
Lu (0.672, 0.667, 0.333)

=====

(two)
Compound: LuSnPb
Source: Alexandria
Functional: PBE
Structure: relaxed

Properties
magnetic moment	0.2	μB/f.u.

a = 3.320 Å, b = 3.320 Å, c = 8.703 Å
α = 101.00°, β = 101.00°, γ = 90.00°
Each line ends with the local moment (μB).
Sites, in units of the cell vectors:
Lu (0.768, 0.768, 0.536)  0.14
Sn (0.950, 0.950, 0.901)  0.00
Pb (0.132, 0.132, 0.263)  0.00

=====

Stability, highest: (one)

=====

(one)
Compound: LuSnPb2
Source: Alexandria
Functional: PBE
Structure: relaxed

Properties
magnetic moment	0.0	μB/f.u.

a = 4.175 Å, b = 4.175 Å, c = 6.472 Å
α = 90.00°, β = 90.00°, γ = 90.00°
Sites, in units of the cell vectors:
Lu (0.500, 0.500, 0.500)
Pb (0.000, 0.000, 0.254)
Pb (0.000, 0.000, 0.746)
Sn (0.500, 0.500, 0.000)

=====

(two)
Compound: LuSnPb2
Source: Alexandria
Functional: PBE
Structure: relaxed

Properties
magnetic moment	0.0	μB/f.u.

a = 3.468 Å, b = 3.468 Å, c = 12.085 Å
α = 81.75°, β = 81.75°, γ = 60.00°
Sites, in units of the cell vectors:
Pb (0.912, 0.912, 0.264)
Lu (0.000, 0.000, 0.000)
Pb (0.088, 0.088, 0.736)
Sn (0.500, 0.500, 0.500)

=====

(three)
Compound: LuSnPb2
Source: Alexandria
Functional: PBE
Structure: relaxed

Properties
magnetic moment	0.0	μB/f.u.

a = 4.704 Å, b = 4.855 Å, c = 4.855 Å
α = 90.00°, β = 90.00°, γ = 90.00°
Sites, in units of the cell vectors:
Pb (0.000, 0.000, 0.500)
Lu (0.500, 0.500, 0.500)
Sn (0.500, 0.000, 0.000)
Pb (0.000, 0.500, 0.000)

=====

Stability, highest: (three)